Arrangement a

PBE HfFe4Ge2, relaxed; SG = I4/mmm, No. 139; size of the total moment = 7.75 μB per cell
1.0
-3.010 2.699 -1.904
-0.150 -2.685 -3.569
-6.272 -3.321 -0.036
Hf Ge Fe
1 2 4
direct
0.000 0.000 0.000
0.389 0.389 0.222
0.611 0.611 0.778
0.799 0.799 0.402
0.500 0.000 0.000
0.201 0.201 0.598
0.000 0.500 0.000

Arrangement b

PBE HfFe4Ge2, relaxed; SG = P4_2/mnm, No. 136; size of the total moment = 12.73 μB per cell
1.0
-1.511 3.510 0.931
-2.148 0.812 -6.547
-6.035 -3.024 1.605
Fe Ge Hf
8 4 2
direct
0.000 0.101 0.360
0.500 0.140 0.601
0.000 0.640 0.899
0.500 0.860 0.399
0.500 0.601 0.140
0.500 0.399 0.860
0.000 0.899 0.640
0.000 0.360 0.101
0.500 0.711 0.711
0.000 0.211 0.789
0.000 0.789 0.211
0.500 0.289 0.289
0.000 0.500 0.500
0.500 0.000 0.000

Stability ranking, top entry: arrangement b; the second entry is 1317 meV per atom less favorable.

Arrangement a

PBE Fe2HgGe2, relaxed; SG = P4/mbm, No. 127; size of the total moment = 1.42 μB per cell
1.0
-3.988 -5.655 -1.138
5.167 -4.117 2.352
-1.059 0.206 2.689
Ge Fe Hg
4 4 2
direct
0.648 0.852 0.500
0.352 0.148 0.500
0.148 0.648 0.500
0.852 0.352 0.500
0.356 0.856 0.000
0.644 0.144 0.000
0.856 0.644 0.000
0.144 0.356 0.000
0.500 0.500 0.000
0.000 0.000 0.000

Arrangement b

PBE Fe2HgGe2, relaxed; SG = I4/mmm, No. 139; size of the total moment = 0.00 μB per cell
1.0
-3.787 0.550 -1.448
-0.693 -4.023 0.284
-3.851 -1.146 3.857
Ge Fe Hg
2 2 1
direct
0.630 0.630 0.740
0.370 0.370 0.260
0.250 0.750 0.500
0.750 0.250 0.500
0.000 0.000 0.000

Stability ranking, top entry: arrangement a; the second entry is 96 meV per atom less favorable.

Arrangement a

PBE Fe3HgGe, relaxed; SG = Pm-3m, No. 221; size of the total moment = 7.38 μB per cell
1.0
-3.585 -1.377 2.236
-0.640 -3.212 -3.004
2.547 -2.745 2.393
Fe Hg Ge
3 1 1
direct
0.000 0.000 0.500
0.000 0.500 0.000
0.500 0.000 0.000
0.500 0.500 0.500
0.000 0.000 0.000

Arrangement b

PBE Fe3HgGe, relaxed; SG = Pm-3m, No. 221; size of the total moment = 9.25 μB per cell
1.0
-2.561 2.712 -3.069
-0.752 -3.869 -2.792
-4.026 -1.003 2.474
Ge Fe Hg
1 3 1
direct
0.500 0.500 0.500
0.000 0.500 0.000
0.000 0.000 0.500
0.500 0.000 0.000
0.000 0.000 0.000

Stability ranking, top entry: arrangement a; the second entry is 744 meV per atom less favorable.

Arrangement a

PBE FeHg3Ge, relaxed; SG = Pm-3m, No. 221; size of the total moment = 2.44 μB per cell
1.0
-0.912 -3.222 -3.773
4.181 -2.565 1.179
-2.672 -2.914 3.134
Hg Ge Fe
3 1 1
direct
0.000 0.500 0.000
0.000 0.000 0.500
0.500 0.000 0.000
0.500 0.500 0.500
0.000 0.000 0.000

Arrangement b

PBE FeHg3Ge, relaxed; SG = Pm-3m, No. 221; size of the total moment = 3.47 μB per cell
1.0
5.303 0.000 0.000
0.000 5.303 0.000
0.000 0.000 5.303
Hg Fe Ge
3 1 1
direct
0.000 0.000 0.500
0.000 0.500 0.000
0.500 0.000 0.000
0.500 0.500 0.500
0.000 0.000 0.000

Stability ranking, top entry: arrangement a; the second entry is 247 meV per atom less favorable.

Arrangement a

PBE HoFe4Ge2, relaxed; SG = P4_2/mnm, No. 136; size of the total moment = 11.89 μB per cell
1.0
7.192 0.000 0.000
0.000 7.192 0.000
0.000 0.000 3.862
Ge Fe Ho
4 8 2
direct
0.784 0.216 0.500
0.716 0.716 0.000
0.284 0.284 0.000
0.216 0.784 0.500
0.857 0.409 0.000
0.591 0.143 0.000
0.909 0.643 0.500
0.409 0.857 0.000
0.643 0.909 0.500
0.143 0.591 0.000
0.357 0.091 0.500
0.091 0.357 0.500
0.000 0.000 0.000
0.500 0.500 0.500

Arrangement b

PBE HoFe4Ge2, relaxed; SG = Cmmm, No. 65; size of the total moment = 0.50 μB per cell
1.0
-2.612 2.452 -1.306
0.625 -1.241 -3.582
-3.571 -5.995 1.454
Fe Ge Ho
4 2 1
direct
0.697 0.000 0.395
0.803 0.500 0.606
0.197 0.500 0.394
0.303 0.000 0.605
0.407 0.500 0.814
0.593 0.500 0.186
0.000 0.000 0.000

Stability ranking, top entry: arrangement a; the second entry is 26 meV per atom less favorable.

Arrangement a

PBE HoFe3Ge3, relaxed; SG = Pm-3n, No. 223; size of the total moment = 10.16 μB per cell
1.0
-4.087 4.782 -1.452
-2.695 -0.529 5.843
4.209 4.305 2.332
Ge Ho Fe
6 2 6
direct
0.250 0.500 0.000
0.000 0.750 0.500
0.000 0.250 0.500
0.750 0.500 0.000
0.500 0.000 0.250
0.500 0.000 0.750
0.000 0.000 0.000
0.500 0.500 0.500
0.750 0.000 0.500
0.500 0.250 0.000
0.250 0.000 0.500
0.000 0.500 0.750
0.500 0.750 0.000
0.000 0.500 0.250

Arrangement b

PBE HoFe3Ge3, relaxed; SG = P6_3/m, No. 176; size of the total moment = 6.61 μB per cell
1.0
4.046 0.000 0.000
0.000 8.129 0.000
0.000 -4.065 7.040
Fe Ho Ge
6 2 6
direct
0.750 0.799 0.856
0.250 0.201 0.144
0.750 0.057 0.201
0.250 0.943 0.799
0.250 0.856 0.057
0.750 0.144 0.943
0.250 0.667 0.333
0.750 0.333 0.667
0.250 0.290 0.905
0.250 0.615 0.710
0.750 0.385 0.290
0.750 0.710 0.095
0.750 0.905 0.615
0.250 0.095 0.385

Stability ranking, top entry: arrangement b; the second entry is 513 meV per atom less favorable.

Arrangement a

PBE FeGeIN2, relaxed; SG = P4/mmm, No. 123; size of the total moment = 0.29 μB per cell
1.0
3.713 0.000 0.000
0.000 3.713 0.000
0.000 0.000 6.796
N Fe I Ge
2 1 1 1
direct
0.500 0.000 0.000
0.000 0.500 0.000
0.500 0.500 0.500
0.000 0.000 0.500
0.000 0.000 0.000

Arrangement b

PBE FeGeIN2, relaxed; SG = P4/mmm, No. 123; size of the total moment = 0.37 μB per cell
1.0
3.840 0.000 0.000
0.000 3.840 0.000
0.000 0.000 5.468
N Fe I Ge
2 1 1 1
direct
0.500 0.000 0.000
0.000 0.500 0.000
0.000 0.000 0.000
0.000 0.000 0.500
0.500 0.500 0.500

Stability ranking, top entry: arrangement b; the second entry is 359 meV per atom less favorable.